1 | Density functional theory data (PBE) for a relaxed Ba8NaCa2 crystal.

```
data_Ba8NaCa2
_chemical_formula_sum 'Ba16 Na2 Ca4'
_symmetry_space_group_name_H-M 'C 1 2/m 1'
_symmetry_Int_Tables_number 12
_cell_length_a 22.718
_cell_length_b 6.857
_cell_length_c 8.011
_cell_angle_alpha 90.00
_cell_angle_beta 90.23
_cell_angle_gamma 90.00
loop_
_symmetry_equiv_pos_as_xyz
'x,y,z'
'-x,-y,-z'
'-x,y,-z'
'x,-y,z'
'x+1/2,y+1/2,z'
'-x+1/2,-y+1/2,-z'
'-x+1/2,y+1/2,-z'
'x+1/2,-y+1/2,z'
loop_
_atom_site_label
_atom_site_type_symbol
_atom_site_fract_x
_atom_site_fract_y
_atom_site_fract_z
Ba1 Ba 0.047 0.000 0.238
Ba2 Ba 0.090 0.500 0.933
Ba3 Ba 0.144 0.000 0.698
Ba4 Ba 0.178 0.500 0.405
Na1 Na 0.000 0.500 0.500
Ca1 Ca 0.231 0.000 0.136
```

=====

2 | Density functional theory data (PBE) for a relaxed Ba8NaCa2 crystal.

```
data_Ba8NaCa2
_chemical_formula_sum 'Ba16 Na2 Ca4'
_symmetry_space_group_name_H-M 'C 1 2/m 1'
_symmetry_Int_Tables_number 12
_cell_length_a 22.559
_cell_length_b 6.774
_cell_length_c 8.284
_cell_angle_alpha 90.00
_cell_angle_beta 92.46
_cell_angle_gamma 90.00
loop_
_symmetry_equiv_pos_as_xyz
'x,y,z'
'-x,-y,-z'
'-x,y,-z'
'x,-y,z'
'x+1/2,y+1/2,z'
'-x+1/2,-y+1/2,-z'
'-x+1/2,y+1/2,-z'
'x+1/2,-y+1/2,z'
loop_
_atom_site_label
_atom_site_type_symbol
_atom_site_fract_x
_atom_site_fract_y
_atom_site_fract_z
Ba1 Ba 0.038 0.000 0.252
Ba2 Ba 0.091 0.500 0.926
Ba3 Ba 0.175 0.500 0.418
Ba4 Ba 0.224 0.000 0.135
Na1 Na 0.000 0.500 0.500
Ca1 Ca 0.148 0.000 0.683
```

=====

Which of them is the most stable? Correct choice: 2.

=====

1 | Density functional theory data (PBE) for a relaxed BaNaCa3 crystal.

```
data_BaNaCa3
_chemical_formula_sum 'Ba1 Na1 Ca3'
_symmetry_space_group_name_H-M 'P m -3 m'
_symmetry_Int_Tables_number 221
_symmetry_space_group_name_Hall '-P 4 2 3'
_cell_length_a 6.565
_cell_length_b 6.565
_cell_length_c 6.565
_cell_angle_alpha 90.00
_cell_angle_beta 90.00
_cell_angle_gamma 90.00
loop_
_atom_site_label
_atom_site_type_symbol
_atom_site_fract_x
_atom_site_fract_y
_atom_site_fract_z
Ba1 Ba 0.000 0.000 0.000
Na1 Na 0.500 0.500 0.500
Ca1 Ca 0.000 0.000 0.500
```

=====

2 | Density functional theory data (PBE) for a relaxed BaNaCa3 crystal.

```
data_BaNaCa3
_chemical_formula_sum 'Ba4 Na4 Ca12'
_symmetry_space_group_name_H-M 'C 1 2/m 1'
_symmetry_Int_Tables_number 12
_cell_length_a 18.764
_cell_length_b 5.807
_cell_length_c 8.947
_cell_angle_alpha 90.00
_cell_angle_beta 109.80
_cell_angle_gamma 90.00
loop_
_symmetry_equiv_pos_as_xyz
'x,y,z'
'-x,-y,-z'
'-x,y,-z'
'x,-y,z'
'x+1/2,y+1/2,z'
'-x+1/2,-y+1/2,-z'
'-x+1/2,y+1/2,-z'
'x+1/2,-y+1/2,z'
loop_
_atom_site_label
_atom_site_type_symbol
_atom_site_fract_x
_atom_site_fract_y
_atom_site_fract_z
Ba1 Ba 0.044 0.000 0.289
Na1 Na 0.083 0.500 0.007
Ca1 Ca 0.117 0.500 0.643
Ca2 Ca 0.190 0.000 0.008
Ca3 Ca 0.240 0.500 0.355
```

=====

Which of them is the most stable? Correct choice: 2.

=====

1 | Density functional theory data (PBE) for a relaxed BaNaCa3 crystal.

```
data_BaNaCa3
_chemical_formula_sum 'Ba1 Na1 Ca3'
_symmetry_space_group_name_H-M 'P m -3 m'
_symmetry_Int_Tables_number 221
_symmetry_space_group_name_Hall '-P 4 2 3'
_cell_length_a 6.262
_cell_length_b 6.262
_cell_length_c 6.262
_cell_angle_alpha 90.00
_cell_angle_beta 90.00
_cell_angle_gamma 90.00
loop_
_atom_site_label
_atom_site_type_symbol
_atom_site_fract_x
_atom_site_fract_y
_atom_site_fract_z
Ba1 Ba 0.000 0.000 0.000
Na1 Na 0.500 0.500 0.500
Ca1 Ca 0.000 0.500 0.500
```

=====

2 | Density functional theory data (PBE) for a relaxed BaNaCa3 crystal.

```
data_BaNaCa3
_chemical_formula_sum 'Ba2 Na2 Ca6'
_symmetry_space_group_name_H-M 'P 1 21/m 1'
_symmetry_Int_Tables_number 11
_cell_length_a 6.131
_cell_length_b 7.846
_cell_length_c 9.871
_cell_angle_alpha 90.00
_cell_angle_beta 108.03
_cell_angle_gamma 90.00
loop_
_symmetry_equiv_pos_as_xyz
'x,y,z'
'-x,-y,-z'
'-x,y+1/2,-z'
'x,-y+1/2,z'
loop_
_atom_site_label
_atom_site_type_symbol
_atom_site_fract_x
_atom_site_fract_y
_atom_site_fract_z
Ba1 Ba 0.010 0.250 0.019
Na1 Na 0.205 0.250 0.408
Ca1 Ca 0.201 0.750 0.403
Ca2 Ca 0.390 0.004 0.779
```

=====

Which of them is the most stable? Correct choice: 2.

=====

1 | Density functional theory data (PBE) for a relaxed Ba4Na2Ca crystal.

```
data_Ba4Na2Ca
_chemical_formula_sum 'Ba16 Na8 Ca4'
_symmetry_space_group_name_H-M 'F m m m'
_symmetry_Int_Tables_number 69
_symmetry_space_group_name_Hall '-F 2 2'
_cell_length_a 8.126
_cell_length_b 12.987
_cell_length_c 14.364
_cell_angle_alpha 90.00
_cell_angle_beta 90.00
_cell_angle_gamma 90.00
loop_
_atom_site_label
_atom_site_type_symbol
_atom_site_fract_x
_atom_site_fract_y
_atom_site_fract_z
Ba1 Ba 0.000 0.165 0.000
Ba2 Ba 0.250 0.250 0.250
Na1 Na 0.000 0.000 0.242
Ca1 Ca 0.000 0.000 0.500
```

=====

2 | Density functional theory data (PBE) for a relaxed Ba4Na2Ca crystal.

```
data_Ba4Na2Ca
_chemical_formula_sum 'Ba12 Na6 Ca3'
_symmetry_space_group_name_H-M 'R -3 m'
_symmetry_Int_Tables_number 166
_symmetry_space_group_name_Hall '-R 3 2"'
_cell_length_a 6.7368
_cell_length_b 6.7368
_cell_length_c 31.3162
_cell_angle_alpha 90.00
_cell_angle_beta 90.00
_cell_angle_gamma 120.00
loop_
_atom_site_label
_atom_site_type_symbol
_atom_site_fract_x
_atom_site_fract_y
_atom_site_fract_z
Ba1 Ba 0.0000 0.0000 0.1242
Ba2 Ba 0.0000 0.0000 0.2654
Na1 Na 0.0000 0.0000 0.3879
Ca1 Ca 0.0000 0.0000 0.5000
```

=====

Which of them is the most stable? Correct choice: 1.

=====

1 | Density functional theory data (PBE) for a relaxed Ba2NaCa8 crystal.

```
data_Ba2NaCa8
_chemical_formula_sum 'Ba4 Na2 Ca16'
_symmetry_space_group_name_H-M 'C 1 2/m 1'
_symmetry_Int_Tables_number 12
_cell_length_a 20.368
_cell_length_b 5.666
_cell_length_c 8.945
_cell_angle_alpha 90.00
_cell_angle_beta 105.54
_cell_angle_gamma 90.00
loop_
_symmetry_equiv_pos_as_xyz
'x,y,z'
'-x,-y,-z'
'-x,y,-z'
'x,-y,z'
'x+1/2,y+1/2,z'
'-x+1/2,-y+1/2,-z'
'-x+1/2,y+1/2,-z'
'x+1/2,-y+1/2,z'
loop_
_atom_site_label
_atom_site_type_symbol
_atom_site_fract_x
_atom_site_fract_y
_atom_site_fract_z
Ba1 Ba 0.223 0.000 0.140
Na1 Na 0.000 0.500 0.500
Ca1 Ca 0.040 0.000 0.222
Ca2 Ca 0.084 0.500 0.940
Ca3 Ca 0.131 0.000 0.662
Ca4 Ca 0.176 0.500 0.405
```

=====

2 | Density functional theory data (PBE) for a relaxed Ba2NaCa8 crystal.

```
data_Ba2NaCa8
_chemical_formula_sum 'Ba2 Na1 Ca8'
_symmetry_space_group_name_H-M 'P 4/m m m'
_symmetry_Int_Tables_number 123
_symmetry_space_group_name_Hall '-P 4 2'
_cell_length_a 5.789
_cell_length_b 5.789
_cell_length_c 15.380
_cell_angle_alpha 90.00
_cell_angle_beta 90.00
_cell_angle_gamma 90.00
loop_
_atom_site_label
_atom_site_type_symbol
_atom_site_fract_x
_atom_site_fract_y
_atom_site_fract_z
Ba1 Ba 0.000 0.000 0.184
Na1 Na 0.000 0.000 0.500
Ca1 Ca 0.000 0.500 0.000
Ca2 Ca 0.000 0.500 0.366
Ca3 Ca 0.500 0.500 0.183
```

=====

Which of them is the most stable? Correct choice: 1.

=====

1 | Density functional theory data (PBE) for a relaxed BaNaCa2Pd crystal.

```
data_BaNaCa2Pd
_chemical_formula_sum 'Ba1 Na1 Ca2 Pd1'
_symmetry_space_group_name_H-M 'P 4/m m m'
_symmetry_Int_Tables_number 123
_symmetry_space_group_name_Hall '-P 4 2'
_cell_length_a 5.761
_cell_length_b 5.761
_cell_length_c 6.219
_cell_angle_alpha 90.00
_cell_angle_beta 90.00
_cell_angle_gamma 90.00
loop_
_atom_site_label
_atom_site_type_symbol
_atom_site_fract_x
_atom_site_fract_y
_atom_site_fract_z
Ba1 Ba 0.000 0.000 0.000
Na1 Na 0.500 0.500 0.000
Ca1 Ca 0.000 0.500 0.500
Pd1 Pd 0.000 0.000 0.500
```

=====

2 | Density functional theory data (PBE) for a relaxed BaNaCa2Pd crystal.

```
data_BaNaCa2Pd
_chemical_formula_sum 'Ba1 Na1 Ca2 Pd1'
_symmetry_space_group_name_H-M 'P 4/m m m'
_symmetry_Int_Tables_number 123
_symmetry_space_group_name_Hall '-P 4 2'
_cell_length_a 5.651
_cell_length_b 5.651
_cell_length_c 5.979
_cell_angle_alpha 90.00
_cell_angle_beta 90.00
_cell_angle_gamma 90.00
loop_
_atom_site_label
_atom_site_type_symbol
_atom_site_fract_x
_atom_site_fract_y
_atom_site_fract_z
Ba1 Ba 0.000 0.000 0.000
Na1 Na 0.500 0.500 0.000
Ca1 Ca 0.000 0.500 0.500
Pd1 Pd 0.500 0.500 0.500
```

=====

Which of them is the most stable? Correct choice: 1.